a:
KTe2Br: single point on PBEsol structure, SCAN.

Geometry as extended XYZ:
```
4
Lattice="4.286 0.000 0.000 0.000 4.286 0.000 -2.143 -2.143 7.466" Properties=species:S:1:pos:R:3 pbc="T T T"
Te 0.000 2.143 3.733
Te 2.143 0.000 3.733
K 0.000 0.000 0.000
Br 2.143 2.143 0.000
```

## Properties
total magnetization: 0.0 μB/cell
DOS at the Fermi energy: 0.958 states/eV per cell
space-group type: No. 139


b:
KTe2Br: single point on PBEsol structure, SCAN.

Geometry as extended XYZ:
```
4
Lattice="-1.567 3.152 -1.203 -3.437 -0.056 -1.423 -5.750 2.740 8.920" Properties=species:S:1:pos:R:3 pbc="T T T"
Br 0.000 0.000 0.000
K -5.377 2.918 3.147
Te -6.032 3.526 -0.158
Te -4.722 2.309 6.453
```

## Properties
total magnetization: 0.0 μB/cell
DOS at the Fermi energy: 2.422 states/eV per cell
space-group type: No. 166


The computed energies, referenced to the most stable structure and given in eV/atom, are a 0.000; b 0.710.


a:
KTlBr2: single point on PBEsol structure, SCAN.

Geometry as extended XYZ:
```
4
Lattice="-3.880 -0.752 -1.415 1.768 -0.258 -4.711 2.855 -5.608 1.379" Properties=species:S:1:pos:R:3 pbc="T T T"
Tl -0.609 -3.430 -2.735
Br 0.451 -2.952 0.331
Br -0.151 -6.431 -2.398
K -1.915 -0.540 -0.689
```

## Properties
total magnetization: 0.0 μB/cell
DOS at the Fermi energy: 0.000 states/eV per cell
space-group type: No. 38


b:
KTlBr2: single point on PBEsol structure, SCAN.

Geometry as extended XYZ:
```
4
Lattice="-2.528 4.488 -2.022 -1.299 0.259 -5.373 -5.295 -0.284 -1.583" Properties=species:S:1:pos:R:3 pbc="T T T"
Br -2.280 1.116 -2.245
Br -6.841 3.347 -6.734
K 0.000 0.000 0.000
Tl -4.561 2.232 -4.489
```

## Properties
total magnetization: 0.0 μB/cell
DOS at the Fermi energy: 0.000 states/eV per cell
space-group type: No. 225


c:
KTlBr2: single point on PBEsol structure, SCAN.

Geometry as extended XYZ:
```
8
Lattice="7.223 0.000 0.000 0.000 7.223 0.000 -3.612 -3.612 7.420" Properties=species:S:1:pos:R:3 pbc="T T T"
Br -1.806 -1.820 5.565
Br 5.431 1.806 1.855
Br 1.806 1.820 5.565
Br 1.792 5.417 1.855
Tl 0.000 0.000 0.000
Tl 0.000 3.612 3.710
K 3.612 0.000 3.710
K 3.612 3.612 0.000
```

## Properties
total magnetization: 0.0 μB/cell
DOS at the Fermi energy: 0.000 states/eV per cell
space-group type: No. 122


The computed energies, referenced to the most stable structure and given in eV/atom, are a 0.000; b 0.010; c 0.127.


a:
KTlBr2: single point on PBEsol structure, SCAN.

Geometry as extended XYZ:
```
4
Lattice="-3.085 -3.155 0.896 -1.175 -2.967 -3.177 4.327 -6.958 1.708" Properties=species:S:1:pos:R:3 pbc="T T T"
Br 4.296 -6.931 1.695
Br -1.355 -8.607 -1.033
K 1.460 -7.760 0.326
Tl 0.028 -3.279 -0.138
```

## Properties
total magnetization: 0.0 μB/cell
DOS at the Fermi energy: 0.000 states/eV per cell
space-group type: No. 160


b:
KTlBr2: single point on PBEsol structure, SCAN.

Geometry as extended XYZ:
```
4
Lattice="4.846 0.000 0.000 2.423 4.197 0.000 2.423 1.399 9.309" Properties=species:S:1:pos:R:3 pbc="T T T"
Br 7.270 4.197 2.950
Br 2.423 1.399 6.359
K 4.846 2.798 4.654
Tl 0.000 0.000 0.000
```

## Properties
total magnetization: 0.0 μB/cell
DOS at the Fermi energy: 0.000 states/eV per cell
space-group type: No. 166


c:
KTlBr2: single point on PBEsol structure, SCAN.

Geometry as extended XYZ:
```
4
Lattice="-0.335 2.615 3.794 -3.135 -2.918 1.734 4.767 -3.457 2.804" Properties=species:S:1:pos:R:3 pbc="T T T"
Br 0.052 -1.447 3.815
Br 4.172 -3.025 2.453
K 1.790 -1.298 1.053
Tl 2.434 -3.175 5.216
```

## Properties
total magnetization: 0.0 μB/cell
DOS at the Fermi energy: 0.000 states/eV per cell
space-group type: No. 99


d:
KTlBr2: single point on PBEsol structure, SCAN.

Geometry as extended XYZ:
```
4
Lattice="-1.425 3.942 -1.932 -4.414 0.491 -1.254 -3.591 4.251 5.812" Properties=species:S:1:pos:R:3 pbc="T T T"
Tl -4.715 4.342 1.313
Br -2.351 2.160 0.630
Br -7.079 6.524 1.997
K 0.000 0.000 0.000
```

## Properties
total magnetization: 0.0 μB/cell
DOS at the Fermi energy: 0.000 states/eV per cell
space-group type: No. 166


The computed energies, referenced to the most stable structure and given in eV/atom, are a 0.025; b 0.274; c 0.000; d 0.006.


a:
KTlBr2: single point on PBEsol structure, SCAN.

Geometry as extended XYZ:
```
4
Lattice="-2.425 1.278 2.795 -1.326 -3.647 0.517 5.544 -1.253 5.375" Properties=species:S:1:pos:R:3 pbc="T T T"
Tl 0.897 -1.811 4.344
Br -1.047 0.966 4.124
Br 4.166 -0.940 4.046
K -1.875 -1.184 1.656
```

## Properties
total magnetization: 0.0 μB/cell
DOS at the Fermi energy: 0.000 states/eV per cell
space-group type: No. 10


b:
KTlBr2: single point on PBEsol structure, SCAN.

Geometry as extended XYZ:
```
4
Lattice="4.212 0.000 0.000 0.000 4.226 0.000 -2.106 -2.113 7.730" Properties=species:S:1:pos:R:3 pbc="T T T"
K 0.000 0.000 7.077
Tl 0.000 2.113 3.184
Br 2.106 0.000 4.546
Br 0.000 0.000 0.654
```

## Properties
total magnetization: 0.0 μB/cell
DOS at the Fermi energy: 0.000 states/eV per cell
space-group type: No. 44


The computed energies, referenced to the most stable structure and given in eV/atom, are a 0.000; b 0.016.


a:
KWBr: single point on PBEsol structure, SCAN.

Geometry as extended XYZ:
```
3
Lattice="3.076 0.005 0.000 -1.357 2.760 0.000 -0.859 -1.382 7.664" Properties=species:S:1:pos:R:3 pbc="T T T"
K 0.859 1.382 2.452
W 0.000 0.000 5.397
Br 0.859 1.382 7.478
```

## Properties
total magnetization: 0.5 μB/cell
DOS at the Fermi energy: 1.393 states/eV per cell
space-group type: No. 42


b:
KWBr: single point on PBEsol structure, SCAN.

Geometry as extended XYZ:
```
3
Lattice="5.232 0.000 0.000 2.616 4.531 0.000 2.616 1.510 4.272" Properties=species:S:1:pos:R:3 pbc="T T T"
K 0.000 0.000 0.000
Br 2.616 1.510 1.068
W 5.232 3.021 2.136
```

## Properties
total magnetization: 5.9 μB/cell
DOS at the Fermi energy: 1.711 states/eV per cell
space-group type: No. 216


The computed energies, referenced to the most stable structure and given in eV/atom, are a 0.000; b 0.392.


a:
K2YBr: single point on PBEsol structure, SCAN.

Geometry as extended XYZ:
```
4
Lattice="3.850 0.000 0.000 0.000 6.072 0.000 0.000 0.000 6.487" Properties=species:S:1:pos:R:3 pbc="T T T"
K 0.000 0.000 0.000
K 1.925 3.036 0.000
Br 0.000 3.036 3.244
Y 1.925 0.000 3.244
```

## Properties
total magnetization: 0.7 μB/cell
DOS at the Fermi energy: 3.399 states/eV per cell
space-group type: No. 47


b:
K2YBr: single point on PBEsol structure, SCAN.

Geometry as extended XYZ:
```
4
Lattice="3.835 0.000 0.000 0.000 4.198 0.000 -1.918 -2.099 10.746" Properties=species:S:1:pos:R:3 pbc="T T T"
Br 0.000 2.099 0.000
Y 1.918 0.000 0.000
K 1.918 2.099 3.498
K 0.000 0.000 7.248
```

## Properties
total magnetization: 1.2 μB/cell
DOS at the Fermi energy: 3.242 states/eV per cell
space-group type: No. 71


The computed energies, referenced to the most stable structure and given in eV/atom, are a 0.252; b 0.000.